[1]
Here is CdTcPd3 after structural relaxation from Alexandria. Energies are from PBE.

Output
* energy above the lowest structure with this stoichiometry: 360.5 meV/atom
* total magnetization: 4.81 μB/cell
* calculated formation energy: 1.3552 eV/atom

a b c (Å): 4.8985 4.8985 4.8985
angles (deg): 90.00 90.00 90.00
With the nearest neighbours (Å) after each atom.
Element x y z (fractional)
Tc (0.5000, 0.5000, 0.5000)  12 Pd 3.46
Pd (0.0000, 0.5000, 0.0000)  2 Cd 2.45
Pd (0.0000, 0.0000, 0.5000)  2 Cd 2.45
Cd (0.0000, 0.0000, 0.0000)  6 Pd 2.45
Pd (0.5000, 0.0000, 0.0000)  2 Cd 2.45

=====

[2]
Here is RbAlReO6 after structural relaxation from Alexandria. Energies are from PBE.

Output
* total magnetization: 1.09 μB/cell
* uncorrected formation energy: -1.802 eV per atom

a b c (Å): 5.2588 5.1634 6.1816
angles (deg): 90.05 90.02 60.59
With the nearest neighbours (Å) after each atom.
Element x y z (fractional)
O (0.9982, 0.3974, 0.3536)  1 Al 1.93, 1 Re 1.96, 1 O 2.10
O (0.5886, 0.0080, 0.3164)  1 Re 1.85, 1 Al 1.95
O (0.4066, 0.5889, 0.3230)  1 Re 1.88, 1 Al 1.88
O (0.4067, 0.0046, 0.6771)  1 Re 1.88, 1 Al 1.88
Rb (0.0070, 0.9964, 0.9999)  6 O 2.91-2.99
Re (0.3599, 0.3200, 0.4999)  6 O 1.85-1.96
O (0.5887, 0.4034, 0.6835)  1 Re 1.85, 1 Al 1.95
Al (0.6459, 0.6770, 0.5000)  6 O 1.88-1.95
O (0.9982, 0.6044, 0.6464)  1 Al 1.93, 1 Re 1.96, 1 O 2.10

=====

[3]
Here is CaMoAs4 after structural relaxation from Alexandria. Energies are from PBE.

Output
* total magnetization: 3.08 μB/cell
* calculated formation energy: 0.3778 eV/atom

a b c (Å): 5.6059 5.6059 5.6059
angles (deg): 60.00 60.00 60.00
With the nearest neighbours (Å) after each atom.
Element x y z (fractional)
Ca (0.7500, 0.7500, 0.7500)  12 As 3.29, 4 Mo 3.43
As (0.3747, 0.8759, 0.3747)  6 As 2.80-2.81
As (0.8759, 0.3747, 0.3747)  6 As 2.80-2.81
Mo (0.0000, 0.0000, 0.0000)  12 As 3.29, 4 Ca 3.43
As (0.3747, 0.3747, 0.3747)  6 As 2.80-2.81
As (0.3747, 0.3747, 0.8759)  6 As 2.80-2.81

=====

[4]
Here is CdAsH after structural relaxation from Alexandria. Energies are from PBE.

Output
* energy above the lowest structure with this stoichiometry: 0.0 meV/atom
* total magnetization: 0.00 μB/cell

a b c (Å): 7.2973 4.6976 7.5348
angles (deg): 90.00 90.00 90.00
With the nearest neighbours (Å) after each atom.
Element x y z (fractional)
H (0.0900, 0.7500, 0.9592)  1 As 1.55
As (0.7684, 0.7500, 0.6513)  1 H 1.55
Cd (0.3445, 0.2500, 0.0067)  3 As 2.69-2.71
As (0.2684, 0.7500, 0.8487)  1 H 1.55
Cd (0.8445, 0.2500, 0.4933)  3 As 2.69-2.71
H (0.9100, 0.2500, 0.0408)  1 As 1.55
Cd (0.1555, 0.7500, 0.5067)  3 As 2.69-2.71
H (0.4100, 0.2500, 0.4592)  1 As 1.55
As (0.7316, 0.2500, 0.1513)  1 H 1.55
As (0.2316, 0.2500, 0.3487)  1 H 1.55
Cd (0.6555, 0.7500, 0.9933)  3 As 2.69-2.71
H (0.5900, 0.7500, 0.5408)  1 As 1.55

=====

[5]
Here is AlPdS after structural relaxation from Alexandria. Energies are from PBE.

Output
* total magnetization: 0.00 μB/cell
* uncorrected formation energy: -0.558 eV per atom

a b c (Å): 3.3673 10.0360 6.2942
angles (deg): 102.38 105.52 90.00
With the nearest neighbours (Å) after each atom.
Element x y z (fractional)
S (0.7599, 0.3576, 0.5198)  4 Al 2.41-2.45
S (0.2401, 0.6424, 0.4802)  4 Al 2.41-2.45
Pd (0.6140, 0.8675, 0.2280)  1 Al 2.38, 3 S 2.57-2.66
Pd (0.3860, 0.1325, 0.7720)  1 Al 2.38, 3 S 2.57-2.66
S (0.8391, 0.9340, 0.6782)  2 Al 2.30, 2 Pd 2.57
Al (0.6255, 0.5061, 0.2511)  3 S 2.41-2.44, 2 Pd 2.64
S (0.1609, 0.0660, 0.3218)  2 Al 2.30, 2 Pd 2.57
Al (0.4126, 0.8232, 0.8253)  3 S 2.30-2.45, 1 Pd 2.38
Al (0.5874, 0.1768, 0.1747)  3 S 2.30-2.45, 1 Pd 2.38
Pd (0.9828, 0.3551, 0.9655)  6 Al 2.64-2.94, 1 S 2.71, 3 Pd 2.83-2.85
Pd (0.0172, 0.6449, 0.0345)  6 Al 2.64-2.94, 1 S 2.71, 3 Pd 2.83-2.85
Al (0.3745, 0.4939, 0.7489)  3 S 2.41-2.44, 2 Pd 2.64

=====

[6]
Here is LaMnMo2 after structural relaxation from Alexandria. Energies are from PBE.

Output
* energy above the lowest structure with this stoichiometry: 205.4 meV/atom
* total magnetization: 1.53 μB/cell
* calculated formation energy: 0.5188 eV/atom

a b c (Å): 5.0790 5.0790 5.2282
angles (deg): 78.88 78.88 35.58
With the nearest neighbours (Å) after each atom.
Element x y z (fractional)
Mo (0.9617, 0.9617, 0.0836)  2 Mo 2.55, 2 Mn 2.58
Mo (0.5383, 0.5383, 0.4164)  2 Mo 2.55, 2 Mn 2.58
La (0.7500, 0.7500, 0.7500)  2 Mo 2.95, 4 Mn 3.04, 2 La 3.10
Mn (0.2500, 0.2500, 0.2500)  4 Mo 2.58

=====

[7]
Here is Nd2ErThBi4 after structural relaxation from Alexandria. Energies are from PBE.

Output
* total magnetization: 0.00 μB/cell
* calculated formation energy: -0.8299 eV/atom

a b c (Å): 4.5760 7.8935 7.9252
angles (deg): 109.48 90.00 90.00
With the nearest neighbours (Å) after each atom.
Element x y z (fractional)
Er (0.5000, 0.5000, 0.0000)  6 Bi 3.18
Nd (0.0000, 0.5000, 0.5000)  6 Bi 3.23-3.24
Bi (0.0000, 0.2570, 0.7579)  2 Er 3.18, 1 Th 3.22, 3 Nd 3.24-3.28
Bi (0.5000, 0.2537, 0.2461)  1 Er 3.18, 2 Th 3.23, 3 Nd 3.23-3.28
Th (0.0000, 0.0000, 0.0000)  6 Bi 3.22-3.23
Nd (0.5000, 0.0000, 0.5000)  6 Bi 3.28
Bi (0.0000, 0.7430, 0.2421)  2 Er 3.18, 1 Th 3.22, 3 Nd 3.24-3.28
Bi (0.5000, 0.7463, 0.7539)  1 Er 3.18, 2 Th 3.23, 3 Nd 3.23-3.28

=====

[8]
Here is Li2TeS after structural relaxation from Alexandria. Energies are from PBE.

Output
* energy above the lowest structure with this stoichiometry: 211.2 meV/atom
* total magnetization: 0.00 μB/cell
* uncorrected formation energy: -0.517 eV per atom

a b c (Å): 4.7659 4.7659 4.7659
angles (deg): 60.00 60.00 60.00
With the nearest neighbours (Å) after each atom.
Element x y z (fractional)
S (0.0000, 0.0000, 0.0000)  8 Li 2.92
Li (0.7500, 0.7500, 0.7500)  4 Te 2.92, 4 S 2.92
Li (0.2500, 0.2500, 0.2500)  4 Te 2.92, 4 S 2.92
Te (0.5000, 0.5000, 0.5000)  8 Li 2.92